No. 1
{
  "formula": "YHgC2O6",
  "functional": "PBE-GGA",
  "state": "relaxed",
  "raw_formation_energy_ev_per_atom": -1.717,
  "lattice": [[6.450, 0.212, -0.115], [-0.580, 6.427, -0.115], [-1.818, -2.056, 6.627]],
  "species": ["Hg", "O", "Hg", "C", "O", "Y", "O", "O", "O", "O", "C", "O", "O", "C", "O", "C", "Y", "O", "O", "O"],
  "fractional_positions": [[0.104, 0.896, 0.250], [0.528, 0.299, 0.893], [0.896, 0.104, 0.750], [0.396, 0.136, 0.743], [0.940, 0.399, 0.240], [0.592, 0.408, 0.250], [0.802, 0.736, 0.899], [0.601, 0.060, 0.260], [0.472, 0.701, 0.107], [0.736, 0.802, 0.399], [0.136, 0.396, 0.243], [0.701, 0.472, 0.607], [0.060, 0.601, 0.760], [0.604, 0.864, 0.257], [0.299, 0.528, 0.393], [0.864, 0.604, 0.757], [0.408, 0.592, 0.750], [0.399, 0.940, 0.740], [0.264, 0.198, 0.601], [0.198, 0.264, 0.101]]
}

No. 2
{
  "formula": "Zn3HgC4O12",
  "functional": "PBE-GGA",
  "state": "relaxed",
  "raw_formation_energy_ev_per_atom": -1.266,
  "lattice": [[-0.841, -2.655, -5.524], [-4.715, -2.204, 3.344], [-1.631, 5.881, -1.011]],
  "species": ["O", "Zn", "O", "O", "O", "O", "C", "O", "O", "O", "O", "O", "Zn", "Hg", "Zn", "C", "C", "C", "O", "O"],
  "fractional_positions": [[0.366, 0.634, 0.500], [0.000, 0.537, 0.463], [0.186, 0.380, 0.976], [0.500, 0.366, 0.634], [0.380, 0.976, 0.186], [0.620, 0.814, 0.024], [0.962, 0.038, 0.500], [0.634, 0.500, 0.366], [0.500, 0.095, 0.905], [0.976, 0.186, 0.380], [0.095, 0.905, 0.500], [0.814, 0.024, 0.620], [0.537, 0.463, 0.000], [0.000, 0.000, 0.000], [0.463, 0.000, 0.537], [0.500, 0.500, 0.500], [0.038, 0.500, 0.962], [0.500, 0.962, 0.038], [0.905, 0.500, 0.095], [0.024, 0.620, 0.814]]
}

No. 3
{
  "formula": "HgOs2C2",
  "functional": "PBE-GGA",
  "state": "relaxed",
  "relative_energy_kj_per_mol_fu": 357.4,
  "ef_ev_per_atom": 1.67,
  "lattice": [[6.847, 0.000, 0.000], [0.000, 6.847, 0.000], [0.000, 0.000, 2.741]],
  "species": ["C", "C", "Os", "Os", "Hg", "C", "Os", "Os", "C", "Hg"],
  "fractional_positions": [[0.614, 0.114, 0.000], [0.386, 0.886, 0.000], [0.134, 0.634, 0.500], [0.366, 0.134, 0.500], [0.000, 0.000, 0.000], [0.886, 0.614, 0.000], [0.866, 0.366, 0.500], [0.634, 0.866, 0.500], [0.114, 0.386, 0.000], [0.500, 0.500, 0.000]]
}

No. 4
{
  "formula": "Hg3OsC",
  "functional": "PBE-GGA",
  "state": "relaxed",
  "relative_energy_kj_per_mol_fu": 133.8,
  "ef_ev_per_atom": 2.13,
  "lattice": [[-3.131, 3.935, -1.664], [1.520, -0.902, -4.994], [-3.993, -3.429, -0.595]],
  "species": ["Hg", "C", "Os", "Hg", "Hg"],
  "fractional_positions": [[0.000, 0.000, 0.500], [0.500, 0.500, 0.500], [0.000, 0.000, 0.000], [0.500, 0.000, 0.000], [0.000, 0.500, 0.000]]
}

No. 5
{
  "formula": "HgOs3C",
  "functional": "PBE-GGA",
  "state": "relaxed",
  "relative_energy_kj_per_mol_fu": 0.0,
  "ef_ev_per_atom": 0.85,
  "lattice": [[4.143, 0.000, 0.000], [0.000, 4.143, 0.000], [0.000, 0.000, 4.143]],
  "species": ["Hg", "C", "Os", "Os", "Os"],
  "fractional_positions": [[0.500, 0.500, 0.500], [0.000, 0.000, 0.000], [0.000, 0.000, 0.500], [0.500, 0.000, 0.000], [0.000, 0.500, 0.000]]
}

No. 6
{
  "formula": "HgOsC3",
  "functional": "PBE-GGA",
  "state": "relaxed",
  "relative_energy_kj_per_mol_fu": 0.0,
  "ef_ev_per_atom": 1.98,
  "lattice": [[4.072, 0.000, 0.000], [0.000, 4.072, 0.000], [0.000, 0.000, 4.072]],
  "species": ["C", "Os", "C", "Hg", "C"],
  "fractional_positions": [[0.000, 0.500, 0.000], [0.000, 0.000, 0.000], [0.000, 0.000, 0.500], [0.500, 0.500, 0.500], [0.500, 0.000, 0.000]]
}

| no. | total magnetic moment (μB/f.u.) |
| --- | --- |
| 1 | 0.00 |
| 2 | 0.00 |
| 3 | 0.00 |
| 4 | 3.56 |
| 5 | 1.33 |
| 6 | 0.00 |